<A>
Cr2HPdRh | PBE | relaxed

a = 3.7873 Å, b = 3.7873 Å, c = 3.8491 Å
α = 90.00°, β = 90.00°, γ = 90.00°
Space group P4/mmm (No. 123)
Asymmetric unit:
Cr (0.0000, 0.5000, 0.0000)
H (0.0000, 0.0000, 0.0000)
Pd (0.5000, 0.5000, 0.5000)
Rh (0.0000, 0.0000, 0.5000)

Properties
theoretical density	9.5	g/cm3
total magnetization	1.83	μB/f.u.


<B>
Cr2HPdRh | PBE | relaxed

a = 3.7763 Å, b = 3.7763 Å, c = 3.8685 Å
α = 90.00°, β = 90.00°, γ = 90.00°
Space group P4/mmm (No. 123)
Asymmetric unit:
Cr (0.0000, 0.5000, 0.0000)
H (0.0000, 0.0000, 0.0000)
Pd (0.0000, 0.0000, 0.5000)
Rh (0.5000, 0.5000, 0.5000)

Properties
theoretical density	9.5	g/cm3
total magnetization	1.60	μB/f.u.


Energies, relative to the best one, in eV/atom: <A> 0.000; <B> 0.033.